Material: Ho2GaSiGe
Method: DFT, GGA-PBE
State: relaxed

a = 3.992 Å, b = 7.168 Å, c = 8.444 Å
α = 109.43°, β = 90.00°, γ = 90.00°
Fractional coordinates of all 10 atoms:
Ho1 0.750 0.837 0.589
Ho2 0.750 0.734 0.031
Ho3 0.250 0.163 0.411
Ho4 0.250 0.266 0.969
Ga1 0.250 0.506 0.726
Ga2 0.750 0.494 0.274
Si1 0.250 0.714 0.294
Si2 0.750 0.286 0.706
Ge1 0.250 0.857 0.833
Ge2 0.750 0.143 0.167

Calculated values
**Formation energy (no corrections)**: -0.525 eV per atom
**DFT total energy**: -4.97 eV per atom
**Total magnetization**: 0.00 Bohr magnetons per cell

Material: Li2ZnCo
Method: DFT, GGA-PBE
State: relaxed

a = 5.153 Å, b = 5.153 Å, c = 5.153 Å
α = 150.17°, β = 130.26°, γ = 59.08°
Site moments in Bohr magnetons follow the coordinates.
Fractional coordinates of all 4 atoms:
Co1 0.250 0.750 0.500  1.12
Li1 0.003 0.003 0.000  -0.02
Li2 0.497 0.497 0.000  -0.02
Zn1 0.750 0.250 0.500  -0.04

Calculated values
**DFT total energy**: -3.02 eV per atom
**Calculated formation energy**: 34 meV per atom
**Total magnetization**: 0.92 Bohr magnetons per cell